Record 1
DFT (meta-GGA SCAN) results for a PBEsol-optimized structure of Mn2AsPb.

POSCAR file:
```
Mn2AsPb
1.0
-1.878 -1.261 -2.340
3.787 0.815 -2.709
1.278 -4.108 1.958
Mn As Pb
2 1 1
direct
0.000 0.000 0.500
0.000 0.500 0.000
0.500 0.000 0.000
0.500 0.500 0.500
```

Total magnetization = 7.58 μB per formula unit
Total DFT energy (no corrections) = -33.0496 eV/atom
Theoretical density = 9.24 g/cm3
Symmetry = C2/m, No. 12
DOS at the Fermi energy = 2.3 states/eV/cell
Formation energy = 0.071 eV/atom

---

Record 2
DFT (meta-GGA SCAN) results for a PBEsol-optimized structure of MnAs2Pb.

POSCAR file:
```
MnAs2Pb
1.0
-2.849 0.952 0.808
0.284 -1.692 2.996
4.237 6.498 1.297
Mn Pb As
1 1 2
direct
0.458 0.458 0.916
0.187 0.687 0.374
0.018 0.017 0.036
0.837 0.337 0.674
```

Total magnetization = 2.79 μB per formula unit
Total DFT energy (no corrections) = -33.6170 eV/atom
Theoretical density = 8.47 g/cm3
Symmetry = Cm, No. 8
DOS at the Fermi energy = 1.8 states/eV/cell
Formation energy = -0.013 eV/atom

---

Record 3
DFT (meta-GGA SCAN) results for a PBEsol-optimized structure of MnAsPb2.

POSCAR file:
```
MnAsPb2
1.0
5.088 0.000 0.000
2.544 4.406 0.000
2.544 1.469 4.154
Mn As Pb
1 1 2
direct
0.250 0.250 0.250
0.500 0.500 0.500
0.750 0.750 0.750
0.000 0.000 0.000
```

Total magnetization = 4.41 μB per formula unit
Total DFT energy (no corrections) = -47.2091 eV/atom
Theoretical density = 9.70 g/cm3
Symmetry = F-43m, No. 216
DOS at the Fermi energy = 2.0 states/eV/cell
Formation energy = 0.293 eV/atom

---

Record 4
DFT (meta-GGA SCAN) results for a PBEsol-optimized structure of Rb2MnAsPb.

POSCAR file:
```
Rb2MnAsPb
1.0
-2.226 -4.567 -0.489
5.392 -2.509 -1.110
0.752 -1.001 5.918
Rb Pb As Mn
2 1 1 1
direct
0.000 0.500 0.000
0.000 0.000 0.500
0.500 0.000 0.000
0.500 0.500 0.500
0.000 0.000 0.000
```

Total magnetization = 4.92 μB per formula unit
Total DFT energy (no corrections) = -30.6598 eV/atom
Theoretical density = 4.52 g/cm3
Symmetry = P4/mmm, No. 123
DOS at the Fermi energy = 4.6 states/eV/cell
Formation energy = 0.481 eV/atom

---

Record 5
DFT (meta-GGA SCAN) results for a PBEsol-optimized structure of Pr4Mn2As5.

POSCAR file:
```
Pr4Mn2As5
1.0
4.135 0.000 0.000
-2.068 3.581 0.000
0.000 0.000 17.385
As Pr Mn
5 4 2
direct
0.667 0.333 0.588
0.667 0.333 0.204
0.000 0.000 0.000
0.333 0.667 0.412
0.333 0.667 0.796
0.667 0.333 0.898
0.333 0.667 0.102
0.000 0.000 0.696
0.000 0.000 0.304
0.333 0.667 0.548
0.667 0.333 0.452
```

Total magnetization = 6.73 μB per formula unit
Total DFT energy (no corrections) = -29.5358 eV/atom
Theoretical density = 6.76 g/cm3
Symmetry = P-3m1, No. 164
DOS at the Fermi energy = 6.9 states/eV/cell
Formation energy = -1.284 eV/atom

---

Record 6
DFT (meta-GGA SCAN) results for a PBEsol-optimized structure of MnAsPt2.

POSCAR file:
```
MnAsPt2
1.0
3.859 0.000 0.000
0.000 3.897 0.000
-1.929 -1.948 3.959
Pt As Mn
2 1 1
direct
0.752 0.752 0.503
0.248 0.248 0.497
0.500 0.000 0.000
0.000 0.500 0.000
```

Total magnetization = 4.15 μB per formula unit
Total DFT energy (no corrections) = -45.1255 eV/atom
Theoretical density = 14.51 g/cm3
Symmetry = Immm, No. 71
DOS at the Fermi energy = 1.7 states/eV/cell
Formation energy = -0.418 eV/atom

---

Record 7
DFT (meta-GGA SCAN) results for a PBEsol-optimized structure of MnAsPt2.

POSCAR file:
```
MnAsPt2
1.0
-0.874 0.189 -2.983
-2.349 -2.850 0.508
-3.827 3.392 1.337
Pt As Mn
2 1 1
direct
0.000 0.000 0.971
0.500 0.500 0.279
0.000 0.000 0.468
0.500 0.500 0.782
```

Total magnetization = 4.39 μB per formula unit
Total DFT energy (no corrections) = -45.1073 eV/atom
Theoretical density = 14.07 g/cm3
Symmetry = Pmm2, No. 25
DOS at the Fermi energy = 1.7 states/eV/cell
Formation energy = -0.399 eV/atom

---

Record 8
DFT (meta-GGA SCAN) results for a PBEsol-optimized structure of MnAsPt2.

POSCAR file:
```
MnAsPt2
1.0
3.868 0.000 0.000
0.000 3.868 0.000
-1.934 -1.934 4.018
Pt Mn As
2 1 1
direct
0.000 0.000 0.000
0.750 0.250 0.500
0.250 0.750 0.500
0.500 0.500 0.000
```

Total magnetization = 4.62 μB per formula unit
Total DFT energy (no corrections) = -45.0875 eV/atom
Theoretical density = 14.36 g/cm3
Symmetry = I-4m2, No. 119
DOS at the Fermi energy = 1.3 states/eV/cell
Formation energy = -0.380 eV/atom

---

Record 9
DFT (meta-GGA SCAN) results for a PBEsol-optimized structure of MnAsPt2.

POSCAR file:
```
MnAsPt2
1.0
-0.452 -4.210 -1.174
-0.186 -3.131 3.077
-3.781 -2.101 0.770
Pt Mn As
2 1 1
direct
0.750 0.750 0.750
0.000 0.000 0.000
0.250 0.250 0.250
0.500 0.500 0.500
```

Total magnetization = 4.00 μB per formula unit
Total DFT energy (no corrections) = -44.9401 eV/atom
Theoretical density = 14.39 g/cm3
Symmetry = F-43m, No. 216
DOS at the Fermi energy = 2.3 states/eV/cell
Formation energy = -0.232 eV/atom

---

Record 10
DFT (meta-GGA SCAN) results for a PBEsol-optimized structure of ZrMn2AsPt.

POSCAR file:
```
ZrMn2AsPt
1.0
-2.806 -3.280 -1.926
3.507 -1.302 -2.890
1.551 -3.306 3.371
Mn As Pt Zr
2 1 1 1
direct
0.000 0.500 0.000
0.500 0.000 0.000
0.500 0.500 0.500
0.000 0.000 0.000
0.000 0.000 0.500
```

Total magnetization = 8.52 μB per formula unit
Total DFT energy (no corrections) = -31.4897 eV/atom
Theoretical density = 7.04 g/cm3
Symmetry = P4/mmm, No. 123
DOS at the Fermi energy = 3.0 states/eV/cell
Formation energy = 0.029 eV/atom

---

Record 11
DFT (meta-GGA SCAN) results for a PBEsol-optimized structure of MnRe2As.

POSCAR file:
```
MnRe2As
1.0
2.883 0.000 0.000
0.000 4.471 -0.024
-1.442 -1.340 4.205
Re Mn As
2 1 1
direct
0.986 0.930 0.972
0.759 0.300 0.517
0.247 0.799 0.493
0.509 0.471 0.018
```

Total magnetization = 1.93 μB per formula unit
Total DFT energy (no corrections) = -45.0347 eV/atom
Theoretical density = 15.41 g/cm3
Symmetry = Cm, No. 8
DOS at the Fermi energy = 2.3 states/eV/cell
Formation energy = 0.125 eV/atom

---

Record 12
DFT (meta-GGA SCAN) results for a PBEsol-optimized structure of MnRe2As.

POSCAR file:
```
MnRe2As
1.0
2.759 -0.029 -0.050
-1.015 4.864 -0.024
-1.015 -2.376 4.244
Mn Re As
1 2 1
direct
0.500 0.500 0.500
0.000 0.500 0.000
0.000 0.000 0.500
0.500 0.000 0.000
```

Total magnetization = 2.94 μB per formula unit
Total DFT energy (no corrections) = -44.8284 eV/atom
Theoretical density = 14.82 g/cm3
Symmetry = C2/m, No. 12
DOS at the Fermi energy = 3.4 states/eV/cell
Formation energy = 0.332 eV/atom

---

Record 13
DFT (meta-GGA SCAN) results for a PBEsol-optimized structure of MnRe2As.

POSCAR file:
```
MnRe2As
1.0
2.881 0.000 0.000
0.000 2.881 0.000
0.000 0.000 6.425
As Mn Re
1 1 2
direct
0.000 0.000 0.524
0.500 0.500 0.727
0.000 0.000 0.989
0.500 0.500 0.259
```

Total magnetization = 0.00 μB per formula unit
Total DFT energy (no corrections) = -45.0329 eV/atom
Theoretical density = 15.64 g/cm3
Symmetry = P4mm, No. 99
DOS at the Fermi energy = 2.4 states/eV/cell
Formation energy = 0.127 eV/atom

---

Record 14
DFT (meta-GGA SCAN) results for a PBEsol-optimized structure of MnAs2Rh.

POSCAR file:
```
MnAs2Rh
1.0
-3.435 -1.969 1.940
0.178 -1.024 4.285
-2.465 2.223 2.902
Mn As Rh
1 2 1
direct
0.500 0.500 0.500
0.000 0.000 0.000
0.250 0.250 0.250
0.750 0.750 0.750
```

Total magnetization = 4.05 μB per formula unit
Total DFT energy (no corrections) = -23.0974 eV/atom
Theoretical density = 8.43 g/cm3
Symmetry = F-43m, No. 216
DOS at the Fermi energy = 1.6 states/eV/cell
Formation energy = 0.005 eV/atom

---

Record 15
DFT (meta-GGA SCAN) results for a PBEsol-optimized structure of MnAs2Rh.

POSCAR file:
```
MnAs2Rh
1.0
3.704 0.000 0.000
0.000 3.704 0.000
-1.852 -1.852 4.252
Rh As Mn
1 2 1
direct
0.250 0.750 0.500
0.000 0.000 0.000
0.750 0.250 0.500
0.500 0.500 0.000
```

Total magnetization = 3.83 μB per formula unit
Total DFT energy (no corrections) = -23.3157 eV/atom
Theoretical density = 8.76 g/cm3
Symmetry = I-4m2, No. 119
DOS at the Fermi energy = 2.1 states/eV/cell
Formation energy = -0.214 eV/atom